TlPAu2 after structural relaxation, computed with PBE.

```
data_TlPAu2
_cell_length_a 10.183
_cell_length_b 3.447
_cell_length_c 5.880
_cell_angle_alpha 90.00
_cell_angle_beta 103.43
_cell_angle_gamma 90.00
_symmetry_space_group_name_H-M 'C 1 m 1'
_symmetry_Int_Tables_number 8
loop_
_symmetry_equiv_pos_as_xyz
'x,y,z'
'x,-y,z'
'x+1/2,y+1/2,z'
'x+1/2,-y+1/2,z'
loop_
_atom_site_label
_atom_site_fract_x
_atom_site_fract_y
_atom_site_fract_z
_atom_site_occupancy
Tl1 0.000 0.000 0.000 1
P1 0.307 0.500 0.361 1
Au1 0.187 0.000 0.534 1
Au2 0.480 0.000 0.536 1
```

Results
DFT formation energy   135 meV/atom
ΔE to the lowest computed polymorph   0.196 eV per atom

=====

TlPAu2 after structural relaxation, computed with PBE.

```
data_TlPAu2
_cell_length_a 4.554
_cell_length_b 4.554
_cell_length_c 5.252
_cell_angle_alpha 90.00
_cell_angle_beta 90.24
_cell_angle_gamma 90.00
_symmetry_space_group_name_H-M 'P 1 m 1'
_symmetry_Int_Tables_number 6
loop_
_symmetry_equiv_pos_as_xyz
'x,y,z'
'x,-y,z'
loop_
_atom_site_label
_atom_site_fract_x
_atom_site_fract_y
_atom_site_fract_z
_atom_site_occupancy
Tl1 0.000 0.000 0.000 1
P1 0.504 0.500 0.500 1
Au1 0.004 0.500 0.625 1
Au2 0.502 0.000 0.375 1
```

Results
DFT formation energy   -31 meV/atom
ΔE to the lowest computed polymorph   0.029 eV per atom

=====

TlPAu2 after structural relaxation, computed with PBE.

```
data_TlPAu2
_cell_length_a 2.971
_cell_length_b 5.114
_cell_length_c 5.316
_cell_angle_alpha 90.00
_cell_angle_beta 90.00
_cell_angle_gamma 90.00
_symmetry_space_group_name_H-M 'P m m m'
_symmetry_Int_Tables_number 47
loop_
_symmetry_equiv_pos_as_xyz
'x,y,z'
'-x,-y,-z'
'-x,-y,z'
'x,y,-z'
'x,-y,-z'
'-x,y,z'
'-x,y,-z'
'x,-y,z'
loop_
_atom_site_label
_atom_site_fract_x
_atom_site_fract_y
_atom_site_fract_z
_atom_site_occupancy
Tl1 0.000 0.000 0.000 1
P1 0.500 0.500 0.000 1
Au1 0.000 0.500 0.500 1
Au2 0.500 0.000 0.500 1
```

Results
DFT formation energy   403 meV/atom
ΔE to the lowest computed polymorph   0.463 eV per atom

=====

TlPAu2 after structural relaxation, computed with PBE.

```
data_TlPAu2
_cell_length_a 4.256
_cell_length_b 4.256
_cell_length_c 8.713
_cell_angle_alpha 90.00
_cell_angle_beta 90.00
_cell_angle_gamma 90.00
_symmetry_space_group_name_H-M 'I 4/m m m'
_symmetry_Int_Tables_number 139
_symmetry_space_group_name_Hall '-I 4 2'
loop_
_atom_site_label
_atom_site_fract_x
_atom_site_fract_y
_atom_site_fract_z
_atom_site_occupancy
Tl1 0.000 0.000 0.000 1
P1 0.000 0.000 0.500 1
Au1 0.000 0.500 0.250 1
```

Results
DFT formation energy   383 meV/atom
ΔE to the lowest computed polymorph   0.444 eV per atom

=====

TlPAu2 after structural relaxation, computed with PBE.

```
data_TlPAu2
_cell_length_a 4.093
_cell_length_b 4.182
_cell_length_c 5.602
_cell_angle_alpha 90.00
_cell_angle_beta 90.00
_cell_angle_gamma 90.00
_symmetry_space_group_name_H-M 'P m m m'
_symmetry_Int_Tables_number 47
loop_
_symmetry_equiv_pos_as_xyz
'x,y,z'
'-x,-y,-z'
'-x,-y,z'
'x,y,-z'
'x,-y,-z'
'-x,y,z'
'-x,y,-z'
'x,-y,z'
loop_
_atom_site_label
_atom_site_fract_x
_atom_site_fract_y
_atom_site_fract_z
_atom_site_occupancy
Tl1 0.000 0.000 0.000 1
P1 0.000 0.500 0.500 1
Au1 0.500 0.500 0.247 1
```

Results
DFT formation energy   234 meV/atom
ΔE to the lowest computed polymorph   0.295 eV per atom

=====

TlPAu2 after structural relaxation, computed with PBE.

```
data_TlPAu2
_cell_length_a 3.8193
_cell_length_b 3.8193
_cell_length_c 20.8550
_cell_angle_alpha 90.00
_cell_angle_beta 90.00
_cell_angle_gamma 120.00
_symmetry_space_group_name_H-M 'R 3 m'
_symmetry_Int_Tables_number 160
_symmetry_space_group_name_Hall 'R 3 -2"'
loop_
_atom_site_label
_atom_site_fract_x
_atom_site_fract_y
_atom_site_fract_z
_atom_site_occupancy
Tl1 0.0000 0.0000 0.0000 1
P1 0.0000 0.0000 0.2292 1
Au1 0.0000 0.0000 0.5103 1
Au2 0.0000 0.0000 0.7589 1
```

Results
DFT formation energy   145 meV/atom
ΔE to the lowest computed polymorph   0.205 eV per atom

=====

TlPAu2 after structural relaxation, computed with PBE.

```
data_TlPAu2
_cell_length_a 5.531
_cell_length_b 5.531
_cell_length_c 14.439
_cell_angle_alpha 90.00
_cell_angle_beta 90.00
_cell_angle_gamma 90.00
_symmetry_space_group_name_H-M 'I -4 2 d'
_symmetry_Int_Tables_number 122
_symmetry_space_group_name_Hall 'I -4 2bw'
loop_
_atom_site_label
_atom_site_fract_x
_atom_site_fract_y
_atom_site_fract_z
_atom_site_occupancy
Tl1 0.000 0.000 0.000 1
P1 0.000 0.000 0.500 1
Au1 0.113 0.250 0.625 1
```

Results
DFT formation energy   -61 meV/atom
ΔE to the lowest computed polymorph   0.000 eV per atom

=====

TlPAu2 after structural relaxation, computed with PBE.

```
data_TlPAu2
_cell_length_a 4.286
_cell_length_b 4.286
_cell_length_c 8.610
_cell_angle_alpha 90.00
_cell_angle_beta 90.00
_cell_angle_gamma 90.00
_symmetry_space_group_name_H-M 'I -4 m 2'
_symmetry_Int_Tables_number 119
_symmetry_space_group_name_Hall 'I -4 -2'
loop_
_atom_site_label
_atom_site_fract_x
_atom_site_fract_y
_atom_site_fract_z
_atom_site_occupancy
Tl1 0.000 0.000 0.000 1
P1 0.000 0.500 0.250 1
Au1 0.000 0.000 0.500 1
Au2 0.000 0.500 0.750 1
```

Results
DFT formation energy   388 meV/atom
ΔE to the lowest computed polymorph   0.449 eV per atom